This record from the Alexandria database describes TcOsRu2 after structural relaxation. The functional is GGA-PBE.

```
TcOsRu2
1.0
-1.0780 1.0559 2.2191
1.0931 -2.4421 0.2062
8.0430 3.7781 2.1097
Os Ru Tc
1 2 1
direct
0.5000 0.5000 0.7490
0.0000 0.0000 0.0007
0.5000 0.5000 0.2513
0.0000 0.0000 0.4990
```

* total magnetic moment: 0.319 μB per atom
* ΔE_f: 512 meV/atom
* crystal system: orthorhombic
* E_tot: -9.525 eV per atom
* D(E_F): 1.537 states/eV per atom
* excess energy over the best structure of this formula in the dataset: 573 meV per atom

=====

This record from the Alexandria database describes TcOs2Ru after structural relaxation. The functional is GGA-PBE.

```
TcOs2Ru
1.0
4.6835 -0.2829 -0.4551
1.8752 4.3011 0.4551
-3.0419 -2.3967 2.6880
Os Ru Tc
2 1 1
direct
0.0000 0.0000 0.0000
0.7501 0.2501 0.5000
0.5000 0.5000 0.0000
0.2500 0.7500 0.5000
```

* total magnetic moment: 0.000 μB per atom
* ΔE_f: 77 meV/atom
* crystal system: tetragonal
* E_tot: -10.449 eV per atom
* D(E_F): 1.213 states/eV per atom
* excess energy over the best structure of this formula in the dataset: 135 meV per atom

=====

This record from the Alexandria database describes TcOsRu2 after structural relaxation. The functional is GGA-PBE.

```
TcOsRu2
1.0
5.4457 0.0000 0.0000
0.0000 5.4457 0.0000
2.7229 2.7229 5.6636
Ru Os Tc
4 2 2
direct
0.6253 0.1250 0.2500
0.1247 0.6250 0.2500
0.3750 0.3747 0.7500
0.8750 0.8753 0.7500
0.0000 0.0000 0.0000
0.7500 0.2500 0.5000
0.5000 0.5000 0.0000
0.2500 0.7500 0.5000
```

* total magnetic moment: 0.000 μB per atom
* ΔE_f: 1280 meV/atom
* crystal system: tetragonal
* E_tot: -8.757 eV per atom
* D(E_F): 1.014 states/eV per atom
* excess energy over the best structure of this formula in the dataset: 1341 meV per atom

=====

This record from the Alexandria database describes Tc2OsRu4 after structural relaxation. The functional is GGA-PBE.

```
Tc2OsRu4
1.0
-1.6520 1.1829 1.8388
0.1190 -2.7315 -0.1779
11.7294 1.2579 9.7286
Tc Os Ru
2 1 4
direct
0.6187 0.2374 0.0942
0.7149 0.4298 0.3819
0.8101 0.6203 0.6679
0.9047 0.8093 0.9524
0.4296 0.8592 0.5267
0.9995 0.9990 0.2359
0.5239 0.0478 0.8090
```

* total magnetic moment: 0.000 μB per atom
* ΔE_f: -19 meV/atom
* crystal system: trigonal
* E_tot: -9.886 eV per atom
* D(E_F): 0.854 states/eV per atom

=====

This record from the Alexandria database describes TcOs4Ru after structural relaxation. The functional is GGA-PBE.

```
TcOs4Ru
1.0
0.0000 3.5890 3.5890
3.5890 0.0000 3.5890
3.5890 3.5890 0.0000
Tc Os Ru
1 4 1
direct
0.0000 0.0000 0.0000
0.8743 0.3752 0.3752
0.3752 0.3752 0.8743
0.3752 0.8743 0.3752
0.3752 0.3752 0.3752
0.7500 0.7500 0.7500
```

* total magnetic moment: 0.000 μB per atom
* ΔE_f: 690 meV/atom
* crystal system: cubic
* E_tot: -10.070 eV per atom
* D(E_F): 1.745 states/eV per atom
* excess energy over the best structure of this formula in the dataset: 598 meV per atom

=====

This record from the Alexandria database describes Tc3Os2Ru4 after structural relaxation. The functional is GGA-PBE.

```
Tc3Os2Ru4
1.0
-0.5174 2.3841 -3.9564
-6.8454 -2.9721 -2.1476
-5.5853 4.8352 2.3927
Tc Os Ru
6 4 8
direct
0.0863 0.9923 0.6801
0.4137 0.3199 0.0077
0.9137 0.0077 0.3199
0.5863 0.6801 0.9923
0.2500 0.3437 0.6563
0.7500 0.6563 0.3437
0.2103 0.7160 0.4906
0.2897 0.5094 0.2840
0.7897 0.2840 0.5094
0.7103 0.4906 0.7160
0.5457 0.0447 0.8277
0.9543 0.1723 0.9553
0.4543 0.9553 0.1723
0.0457 0.8277 0.0447
0.6261 0.8359 0.6205
0.8739 0.3795 0.1641
0.3739 0.1641 0.3795
0.1261 0.6205 0.8359
```

* total magnetic moment: 0.000 μB per atom
* ΔE_f: 230 meV/atom
* crystal system: monoclinic
* E_tot: -9.843 eV per atom
* D(E_F): 1.180 states/eV per atom

=====

This record from the Alexandria database describes TcOs2Ru after structural relaxation. The functional is GGA-PBE.

```
TcOs2Ru
1.0
-0.5690 -3.0460 3.5615
1.3799 -4.0662 1.9616
3.2896 1.6499 2.9552
Os Ru Tc
2 1 1
direct
0.0012 0.0012 0.9973
0.7487 0.7487 0.7540
0.4992 0.4992 0.4988
0.2509 0.2509 0.2499
```

* total magnetic moment: 0.000 μB per atom
* ΔE_f: 83 meV/atom
* crystal system: monoclinic
* E_tot: -10.442 eV per atom
* D(E_F): 1.096 states/eV per atom
* excess energy over the best structure of this formula in the dataset: 141 meV per atom

=====

This record from the Alexandria database describes Tc3Os4Ru2 after structural relaxation. The functional is GGA-PBE.

```
Tc3Os4Ru2
1.0
4.6686 0.1254 0.4708
0.6498 7.2891 2.6688
0.3389 -0.3096 7.7759
Tc Os Ru
6 8 4
direct
0.0617 0.9336 0.7297
0.4383 0.2703 0.0664
0.9383 0.0664 0.2703
0.5617 0.7297 0.9336
0.2500 0.3591 0.6409
0.7500 0.6409 0.3591
0.5429 0.0811 0.8171
0.9571 0.1830 0.9189
0.4571 0.9189 0.1830
0.0429 0.8171 0.0811
0.6613 0.8659 0.5748
0.8387 0.4252 0.1341
0.3387 0.1341 0.4252
0.1613 0.5748 0.8659
0.1869 0.7097 0.5134
0.3131 0.4866 0.2903
0.8131 0.2903 0.4866
0.6869 0.5134 0.7097
```

* total magnetic moment: 0.000 μB per atom
* ΔE_f: 251 meV/atom
* crystal system: monoclinic
* E_tot: -10.256 eV per atom
* D(E_F): 0.901 states/eV per atom